No. 1
DFT (PBE) results for a geometry-optimized Sr2As2Pd structure.

abc: 7.3419 7.3419 4.5913
angles: 90.00 90.00 90.00
With the nearest neighbours (Å) after each atom.
Space group P4/mbm (No. 127)
Asymmetric unit:
Sr 0.1759 0.3241 0.0000 [4 per cell]  6 As 3.07-3.22
As 0.1281 0.6281 0.5000 [4 per cell]  1 As 2.66, 2 Pd 2.89
Pd 0.0000 0.0000 0.5000 [2 per cell]  4 As 2.89

Properties
The total energy is -4.407 eV/atom. The formation energy from the elements is -836 meV/atom.

---

No. 2
DFT (PBE) results for a geometry-optimized Sr3As4Pd4 structure.

abc: 4.4143 4.4186 12.9507
angles: 80.20 80.29 89.99
With the nearest neighbours (Å) after each atom.
Space group P-1 (No. 2)
Asymmetric unit:
Sr 0.0000 0.0000 0.0000 [1 per cell]  4 Pd 3.29-3.30, 8 As 3.37-3.39
Sr 0.3514 0.8511 0.2967 [2 per cell]  6 As 3.28-3.35, 8 Pd 3.35-3.40
As 0.1963 0.6959 0.6070 [2 per cell]  5 Pd 2.50-2.60
As 0.4482 0.4457 0.1034 [2 per cell]  2 Pd 2.48-2.49, 1 As 2.60
Pd 0.0969 0.5976 0.8057 [2 per cell]  3 As 2.48-2.50
Pd 0.2505 0.2481 0.5019 [2 per cell]  4 As 2.57-2.60

Properties
The total energy is -4.923 eV/atom. The formation energy from the elements is -885 meV/atom.

---

No. 3
DFT (PBE) results for a geometry-optimized SrAs3Pd4 structure.

abc: 4.3504 4.3504 8.1061
angles: 90.00 90.00 90.00
With the nearest neighbours (Å) after each atom.
Space group P4/mmm (No. 123)
Asymmetric unit:
Sr 0.0000 0.0000 0.0000 [1 per cell]  8 As 3.34, 8 Pd 3.40
As 0.0000 0.0000 0.5000 [1 per cell]  8 Pd 2.61
As 0.5000 0.5000 0.1595 [2 per cell]  4 Pd 2.55, 1 As 2.59
Pd 0.0000 0.5000 0.3229 [4 per cell]  4 As 2.55-2.61

Properties
The total energy is -5.149 eV/atom. The formation energy from the elements is -598 meV/atom.

---

No. 4
DFT (PBE) results for a geometry-optimized Sr2As2Pd structure.

abc: 11.6983 4.2569 11.3520
angles: 90.00 111.06 90.00
With the nearest neighbours (Å) after each atom.
Space group C2/m (No. 12)
Asymmetric unit:
Sr 0.0856 0.0000 0.4009 [4 per cell]  6 As 3.20-3.45, 2 Pd 3.29, 1 Sr 3.51
Sr 0.1967 0.5000 0.1429 [4 per cell]  7 As 3.23-3.39, 4 Pd 3.32-3.46
As 0.0419 0.0000 0.9124 [4 per cell]  2 Pd 2.48, 1 As 2.51
As 0.1579 0.5000 0.6410 [4 per cell]  1 Pd 2.51
Pd 0.0750 0.5000 0.8162 [4 per cell]  3 As 2.48-2.51

Properties
The total energy is -4.548 eV/atom. The formation energy from the elements is -977 meV/atom.

---

No. 5
DFT (PBE) results for a geometry-optimized SrAs3Pd structure.

abc: 6.2864 5.8252 6.4860
angles: 90.00 99.92 90.00
With the nearest neighbours (Å) after each atom.
Space group P2_1 (No. 4)
Asymmetric unit:
Sr 0.1906 0.0000 0.2137 [2 per cell]  3 Pd 3.21-3.51, 10 As 3.25-3.53
As 0.0386 0.0185 0.6914 [2 per cell]  1 As 2.56, 2 Pd 2.59-2.61
As 0.3185 0.7095 0.8249 [2 per cell]  2 As 2.51-2.56, 1 Pd 2.52
As 0.4705 0.5239 0.3121 [2 per cell]  1 As 2.51, 2 Pd 2.55-2.59
Pd 0.2690 0.3578 0.5947 [2 per cell]  5 As 2.52-2.61

Properties
As for the excess energy over the best structure of this formula in the dataset: 0.00 eV per formula unit. The total energy is -4.703 eV/atom. The formation energy from the elements is -538 meV/atom.

---

No. 6
DFT (PBE) results for a geometry-optimized SrAs2Pd6 structure.

abc: 4.4631 4.4631 8.2889
angles: 90.00 90.00 90.00
With the nearest neighbours (Å) after each atom.
Space group P4/mmm (No. 123)
Asymmetric unit:
Sr 0.0000 0.0000 0.0000 [1 per cell]  8 Pd 3.32, 8 As 3.45
As 0.5000 0.5000 0.1667 [2 per cell]  5 Pd 2.48-2.76, 1 As 2.76
Pd 0.0000 0.0000 0.5000 [1 per cell]  8 Pd 2.80
Pd 0.0000 0.5000 0.2969 [4 per cell]  2 As 2.48
Pd 0.5000 0.5000 0.5000 [1 per cell]  2 As 2.76, 8 Pd 2.80

Properties
As for the excess energy over the best structure of this formula in the dataset: 0.00 eV per formula unit. The total energy is -5.149 eV/atom. The formation energy from the elements is -467 meV/atom.

---

No. 7
DFT (PBE) results for a geometry-optimized Sr2As3Pd9 structure.

abc: 14.1040 7.6430 10.5341
angles: 90.00 116.88 90.00
With the nearest neighbours (Å) after each atom.
Space group C2/c (No. 15)
Asymmetric unit:
Sr 0.1749 0.0909 0.2406 [8 per cell]  10 Pd 2.98-3.30
As 0.0899 0.2500 0.5054 [8 per cell]  7 Pd 2.51-2.70
As 0.2500 0.2500 0.0000 [4 per cell]  6 Pd 2.58-2.64
Pd 0.0000 0.3557 0.2500 [4 per cell]  2 As 2.53
Pd 0.0538 0.0567 0.9108 [8 per cell]  1 As 2.51
Pd 0.0873 0.4051 0.0118 [8 per cell]  3 As 2.64-2.70, 4 Pd 2.77-2.91
Pd 0.1022 0.3179 0.7481 [8 per cell]  2 As 2.54-2.58
Pd 0.2323 0.4173 0.4428 [8 per cell]  3 As 2.60-2.70, 4 Pd 2.77-2.90

Properties
The total energy is -5.140 eV/atom. The formation energy from the elements is -566 meV/atom.

---

No. 8
DFT (PBE) results for a geometry-optimized SrAs4Pd6 structure.

abc: 6.8404 6.8404 9.0424
angles: 90.00 90.00 90.00
With the nearest neighbours (Å) after each atom.
Space group I-42m (No. 121)
Asymmetric unit:
Sr 0.0000 0.0000 0.0000 [2 per cell]  4 As 3.09, 4 Pd 3.42
As 0.2116 0.2116 0.6469 [8 per cell]  4 Pd 2.44-2.53
Pd 0.0000 0.5000 0.0000 [4 per cell]  4 As 2.78, 4 Pd 2.84
Pd 0.1519 0.1519 0.3740 [8 per cell]  4 As 2.44-2.53

Properties
The total energy is -5.163 eV/atom. The formation energy from the elements is -487 meV/atom.

---

No. 9
DFT (PBE) results for a geometry-optimized SrAs2Pd3 structure.

abc: 15.9405 4.2110 7.7174
angles: 90.00 114.90 90.00
With the nearest neighbours (Å) after each atom.
Space group C2/m (No. 12)
Asymmetric unit:
Sr 0.1529 0.0000 0.0697 [4 per cell]  7 As 3.22-3.35, 6 Pd 3.36-3.56
As 0.0195 0.5000 0.1792 [4 per cell]  4 Pd 2.50-2.54, 1 As 2.57
As 0.1882 0.0000 0.6847 [4 per cell]  4 Pd 2.51-2.56
Pd 0.0481 0.0000 0.3717 [4 per cell]  3 As 2.51
Pd 0.0952 0.5000 0.6786 [4 per cell]  3 As 2.50-2.56
Pd 0.1857 0.5000 0.4314 [4 per cell]  2 As 2.52-2.54, 2 Pd 2.82

Properties
As for the excess energy over the best structure of this formula in the dataset: 0.29 eV per formula unit. The total energy is -5.108 eV/atom. The formation energy from the elements is -682 meV/atom.

---

No. 10
DFT (PBE) results for a geometry-optimized Sr2As5Pd3 structure.

abc: 10.3856 12.2015 6.6506
angles: 90.00 90.00 90.00
With the nearest neighbours (Å) after each atom.
Space group Ibam (No. 72)
Asymmetric unit:
Sr 0.2336 0.1261 0.0000 [8 per cell]  8 As 3.12-3.46, 2 Pd 3.32-3.49
As 0.0000 0.0000 0.2500 [4 per cell]  4 Pd 2.62
As 0.0000 0.2751 0.2500 [8 per cell]  3 Pd 2.60-2.74, 2 As 2.68
As 0.1506 0.3900 0.0000 [8 per cell]  3 Pd 2.55-2.65, 2 As 2.68
Pd 0.0000 0.5000 0.2500 [4 per cell]  6 As 2.65-2.74
Pd 0.1063 0.1387 0.5000 [8 per cell]  5 As 2.55-2.62

Properties
The total energy is -4.886 eV/atom. The formation energy from the elements is -667 meV/atom.

---

Number 1: D(E_F) 2.23 states/eV/f.u.. Number 2: D(E_F) 5.38 states/eV/f.u.. Number 3: D(E_F) 3.29 states/eV/f.u.. Number 4: D(E_F) 2.45 states/eV/f.u.. Number 5: D(E_F) 2.85 states/eV/f.u.. Number 6: D(E_F) 6.43 states/eV/f.u.. Number 7: D(E_F) 7.65 states/eV/f.u.. Number 8: D(E_F) 5.43 states/eV/f.u.. Number 9: D(E_F) 2.94 states/eV/f.u.. Number 10: D(E_F) 5.34 states/eV/f.u..